Record 1
Pm4Y3PuS8: optimized geometry, GGA-PBE.

Its formation energy without anion corrections is -2.00 eV per atom.

a = 7.9457 Å, b = 7.9457 Å, c = 19.5693 Å
α = 90.00°, β = 90.00°, γ = 120.00°
Space group R-3m (No. 166, hexagonal axes)
Inequivalent atoms, fractional coordinates:
1 Pm 0.0000 0.0000 0.0000
2 Pm 0.0000 0.5000 0.0000
3 Y 0.0000 0.5000 0.5000
4 Pu 0.0000 0.0000 0.5000
5 S 0.0000 0.0000 0.2464
6 S 0.0012 0.5006 0.7532

***

Record 2
KRu2S: optimized geometry, GGA-PBE.

Its formation energy without anion corrections is 0.42 eV per atom.

a = 4.824 Å, b = 4.824 Å, c = 16.234 Å
α = 90.00°, β = 90.00°, γ = 90.00°
Space group I-42d (No. 122)
Inequivalent atoms, fractional coordinates:
1 K 0.000 0.000 0.000
2 Ru 0.011 0.250 0.625
3 S 0.000 0.000 0.500

***

Record 3
NdSm2ScTe4: optimized geometry, GGA-PBE.

Its formation energy without anion corrections is -1.30 eV per atom.

a = 7.622 Å, b = 4.353 Å, c = 7.666 Å
α = 90.00°, β = 108.95°, γ = 90.00°
Space group P2/m (No. 10)
Inequivalent atoms, fractional coordinates:
1 Nd 0.000 0.000 0.000
2 Sm 0.500 0.000 0.500
3 Sm 0.500 0.500 0.000
4 Sc 0.000 0.500 0.500
5 Te 0.237 0.000 0.734
6 Te 0.245 0.500 0.260

***

Record 4
NaBi3Au: optimized geometry, GGA-PBE.

Its energy above the most stable polymorph in this dataset is 33.9 kJ/mol of atoms. Its formation enthalpy at 0 K is 0.22 eV/atom.

a = 5.655 Å, b = 5.655 Å, c = 5.655 Å
α = 90.00°, β = 90.00°, γ = 90.00°
Space group Pm-3m (No. 221)
Inequivalent atoms, fractional coordinates:
1 Na 0.000 0.000 0.000
2 Bi 0.000 0.500 0.500
3 Au 0.500 0.500 0.500

***

The following calculated total energy values (in eV/atom) correspond, in order, to the records above: -7.36 -5.52 -5.44 -3.02.